Entry 1:
Computed, not measured: crystalline Nd2GaAu3 at its relaxed geometry at the GGA-PBE level of DFT.

Geometry as CIF:
```
data_Nd2GaAu3
_symmetry_space_group_name_H-M 'P 1'
_symmetry_Int_Tables_number 1
_cell_length_a 9.073
_cell_length_b 9.073
_cell_length_c 9.073
_cell_angle_alpha 154.42
_cell_angle_beta 153.05
_cell_angle_gamma 37.50
loop_
_symmetry_equiv_pos_as_xyz
'x,y,z'
loop_
_atom_site_label
_atom_site_fract_x
_atom_site_fract_y
_atom_site_fract_z
Nd1 0.000 0.000 0.000
Nd2 0.749 0.249 0.500
Ga1 0.585 0.585 0.000
Au1 0.164 0.664 0.500
Au2 0.325 0.825 0.500
Au3 0.433 0.433 0.000
```

Output
- Formation energy from the elements: -696.3 meV/atom
- Size of the total moment: 0.00 μB/atom
- Polymorph energy (0 for the lowest one): 82.2 meV/atom

Entry 2:
Computed, not measured: crystalline NdGa2Au3 at its relaxed geometry at the GGA-PBE level of DFT.

Geometry as CIF:
```
data_NdGa2Au3
_symmetry_space_group_name_H-M 'P 1'
_symmetry_Int_Tables_number 1
_cell_length_a 8.369
_cell_length_b 8.369
_cell_length_c 6.815
_cell_angle_alpha 105.39
_cell_angle_beta 105.39
_cell_angle_gamma 31.85
loop_
_symmetry_equiv_pos_as_xyz
'x,y,z'
loop_
_atom_site_label
_atom_site_fract_x
_atom_site_fract_y
_atom_site_fract_z
Nd1 0.123 0.123 0.180
Nd2 0.877 0.877 0.820
Ga1 0.227 0.227 0.673
Ga2 0.489 0.489 0.200
Ga3 0.511 0.511 0.800
Ga4 0.773 0.773 0.327
Au1 0.065 0.065 0.694
Au2 0.310 0.310 0.060
Au3 0.358 0.358 0.497
Au4 0.642 0.642 0.503
Au5 0.690 0.690 0.940
Au6 0.935 0.935 0.306
```

Output
- Formation energy from the elements: -546.7 meV/atom
- Size of the total moment: 0.00 μB/atom

Question: Number 1 is which compound?
Answer: Nd2GaAu3